No. 1
A plane-wave DFT calculation with PBE was carried out for an optimized crystal structure of IrRu7.

Lattice parameters (Å, degrees): 5.415 5.415 5.415 60.00 60.00 60.00
Positions (direct):
Ir 0.000 0.000 0.000
Ru 0.000 0.000 0.500
Ru 0.000 0.500 0.000
Ru 0.000 0.500 0.500
Ru 0.500 0.000 0.000
Ru 0.500 0.000 0.500
Ru 0.500 0.500 0.000
Ru 0.500 0.500 0.500

The calculation puts the calculated total energy at -9.1312 eV per atom. The space group is Fm-3m, No. 225.

No. 2
A plane-wave DFT calculation with PBE was carried out for an optimized crystal structure of LiBe2AgTe.

Lattice parameters (Å, degrees): 4.443 4.443 4.868 90.00 90.00 90.00
Positions (direct):
Li 0.000 0.000 0.000
Be 0.000 0.500 0.500
Be 0.500 0.000 0.500
Ag 0.000 0.000 0.500
Te 0.500 0.500 0.000

The space group is P4/mmm, No. 123. The formation energy from raw total energies is 0.4716 eV per atom.

No. 3
A plane-wave DFT calculation with PBE was carried out for an optimized crystal structure of Sr3Li7Cu2.

Lattice parameters (Å, degrees): 10.121 10.121 10.121 35.23 35.23 35.23
Positions (direct):
Sr 0.000 0.000 0.000
Sr 0.141 0.141 0.141
Sr 0.859 0.859 0.859
Li 0.071 0.569 0.569
Li 0.431 0.431 0.929
Li 0.431 0.929 0.431
Li 0.500 0.500 0.500
Li 0.569 0.071 0.569
Li 0.569 0.569 0.071
Li 0.929 0.431 0.431
Cu 0.333 0.333 0.333
Cu 0.667 0.667 0.667

The calculation puts the calculated total energy at -2.1888 eV per atom. The space group is R-3m, No. 166.

No. 4
A plane-wave DFT calculation with PBE was carried out for an optimized crystal structure of AlP2Au.

Lattice parameters (Å, degrees): 6.944 6.944 6.944 153.78 151.49 39.12
Positions (direct):
Al 0.000 0.000 0.000
P 0.596 0.596 0.000
P 0.718 0.218 0.500
Au 0.351 0.851 0.500

The calculation puts the calculated total energy at -4.3489 eV per atom. The space group is Imm2, No. 44.